# 1
DFT (PBE) results for a relaxed structure of AsPt2Cl2.

The space group is I4/mmm (No. 139) and the conventional cell measures 3.8635, 3.8635 and 12.8593 Å, with angles of 90.00, 90.00 and 90.00 degrees. The asymmetric unit holds As at (0.0000, 0.0000, 0.0000), Pt at (0.0000, 0.0000, 0.4016) and Cl at (0.0000, 0.5000, 0.2500).

For the energy relative to the elements, uncorrected, the calculation gives 60 kJ per mole of atoms.

# 2
DFT (PBE) results for a relaxed structure of AsPtCl2.

The space group is Cmmm (No. 65) and the conventional cell measures 6.0120, 8.2807 and 2.9835 Å, with angles of 90.00, 90.00 and 90.00 degrees. The asymmetric unit holds As at (0.0000, 0.0000, 0.0000), Pt at (0.0000, 0.5000, 0.0000) and Cl at (0.2500, 0.2500, 0.5000).

For the energy relative to the elements, uncorrected, the calculation gives 66 kJ per mole of atoms.

# 3
DFT (PBE) results for a relaxed structure of AsPtCl2.

The space group is P4/mmm (No. 123) and the conventional cell measures 4.2876, 4.2876 and 4.0737 Å, with angles of 90.00, 90.00 and 90.00 degrees. The asymmetric unit holds As at (0.0000, 0.0000, 0.0000), Pt at (0.5000, 0.5000, 0.0000) and Cl at (0.0000, 0.5000, 0.5000).

For the energy relative to the elements, uncorrected, the calculation gives 69 kJ per mole of atoms.

# 4
DFT (PBE) results for a relaxed structure of AsPtCl2.

The space group is I-42d (No. 122) and the conventional cell measures 4.3057, 4.3057 and 17.1966 Å, with angles of 90.00, 90.00 and 90.00 degrees. The asymmetric unit holds As at (0.0000, 0.0000, 0.0000), Pt at (0.0000, 0.0000, 0.5000) and Cl at (0.2399, 0.2500, 0.6250).

For the energy relative to the elements, uncorrected, the calculation gives 35 kJ per mole of atoms.

# 5
DFT (PBE) results for a relaxed structure of AsPt2Cl.

The space group is Pmmm (No. 47) and the conventional cell measures 2.9599, 4.5335 and 5.0632 Å, with angles of 90.00, 90.00 and 90.00 degrees. The asymmetric unit holds As at (0.0000, 0.0000, 0.0000), Pt at (0.0000, 0.5000, 0.5000), Pt at (0.5000, 0.5000, 0.0000) and Cl at (0.5000, 0.0000, 0.5000).

For the energy relative to the elements, uncorrected, the calculation gives 38 kJ per mole of atoms.

# 6
DFT (PBE) results for a relaxed structure of AsPtCl2.

The space group is P4mm (No. 99) and the conventional cell measures 3.2282, 3.2282 and 8.3457 Å, with angles of 90.00, 90.00 and 90.00 degrees. The asymmetric unit holds As at (0.0000, 0.0000, 0.0000), Pt at (0.5000, 0.5000, 0.8359), Cl at (0.0000, 0.0000, 0.6395) and Cl at (0.5000, 0.5000, 0.2222).

For the energy relative to the elements, uncorrected, the calculation gives 2 kJ per mole of atoms.